{"formula": "SrMnSe2", "functional": "GGA-PBE", "state": "optimized geometry", "dft_energy_ev_per_atom": -5.64, "e_form_raw_ev_per_fu": -4.75, "relative_energy_mev_per_atom": 0, "cell": [[7.427, 0.000, 0.000], [0.000, 7.992, 0.000], [-1.135, 0.000, 7.453]], "species": ["Sr", "Sr", "Sr", "Sr", "Mn", "Mn", "Mn", "Mn", "Se", "Se", "Se", "Se", "Se", "Se", "Se", "Se"], "fractional_positions": [[0.193, 0.075, 0.308], [0.193, 0.425, 0.808], [0.807, 0.575, 0.192], [0.807, 0.925, 0.692], [0.327, 0.666, 0.277], [0.327, 0.834, 0.777], [0.673, 0.166, 0.223], [0.673, 0.334, 0.723], [0.108, 0.729, 0.502], [0.108, 0.771, 0.002], [0.415, 0.125, 0.700], [0.415, 0.375, 0.200], [0.585, 0.625, 0.800], [0.585, 0.875, 0.300], [0.892, 0.229, 0.998], [0.892, 0.271, 0.498]]}

=====

{"formula": "SrMnSe2", "functional": "GGA-PBE", "state": "optimized geometry", "dft_energy_ev_per_atom": -4.62, "e_form_raw_ev_per_fu": -0.65, "relative_energy_mev_per_atom": 1023, "cell": [[0.000, 3.634, 3.634], [3.634, 0.000, 3.634], [3.634, 3.634, 0.000]], "species": ["Sr", "Mn", "Se", "Se"], "fractional_positions": [[0.000, 0.000, 0.000], [0.750, 0.750, 0.750], [0.250, 0.250, 0.250], [0.500, 0.500, 0.500]]}

=====

{"formula": "SrMnSe", "functional": "GGA-PBE", "state": "optimized geometry", "dft_energy_ev_per_atom": -5.12, "e_form_raw_ev_per_fu": -1.01, "relative_energy_mev_per_atom": 222, "cell": [[0.000, 2.597, 5.713], [2.591, 0.000, 5.713], [2.591, 2.597, 0.000]], "species": ["Sr", "Mn", "Se"], "fractional_positions": [[0.000, 0.000, 0.000], [0.711, 0.711, 0.289], [0.311, 0.311, 0.689]]}

=====

{"formula": "SrMnSe2", "functional": "GGA-PBE", "state": "optimized geometry", "dft_energy_ev_per_atom": -5.59, "e_form_raw_ev_per_fu": -4.54, "relative_energy_mev_per_atom": 50, "cell": [[4.440, 0.000, 0.000], [0.000, 2.011, 6.320], [0.000, -2.011, 6.320]], "species": ["Sr", "Mn", "Se", "Se"], "fractional_positions": [[0.000, 0.000, 0.000], [0.500, 0.775, 0.775], [0.000, 0.684, 0.684], [0.500, 0.410, 0.410]]}

=====

{"formula": "SrMnSe2", "functional": "GGA-PBE", "state": "optimized geometry", "dft_energy_ev_per_atom": -5.20, "e_form_raw_ev_per_fu": -2.99, "relative_energy_mev_per_atom": 440, "cell": [[3.602, 0.000, 0.000], [0.000, 3.602, 0.000], [0.000, 0.000, 7.253]], "species": ["Sr", "Mn", "Se", "Se"], "fractional_positions": [[0.000, 0.000, 0.000], [0.000, 0.000, 0.500], [0.500, 0.500, 0.273], [0.500, 0.500, 0.727]]}

=====

{"formula": "SrMnSe2", "functional": "GGA-PBE", "state": "optimized geometry", "dft_energy_ev_per_atom": -5.60, "e_form_raw_ev_per_fu": -4.60, "relative_energy_mev_per_atom": 37, "cell": [[2.084, 1.203, 6.726], [-2.084, 1.203, 6.726], [0.000, -2.407, 6.726]], "species": ["Sr", "Mn", "Se", "Se"], "fractional_positions": [[0.000, 0.000, 0.000], [0.500, 0.500, 0.500], [0.238, 0.238, 0.238], [0.762, 0.762, 0.762]]}

=====

{"formula": "SrMnSe2", "functional": "GGA-PBE", "state": "optimized geometry", "dft_energy_ev_per_atom": -5.29, "e_form_raw_ev_per_fu": -3.32, "relative_energy_mev_per_atom": 356, "cell": [[2.078, -3.479, 0.000], [2.078, 3.479, 0.000], [0.000, 0.000, 7.634]], "species": ["Sr", "Mn", "Se", "Se"], "fractional_positions": [[0.000, 0.000, 0.000], [0.000, 0.000, 0.500], [0.500, 0.500, 0.278], [0.500, 0.500, 0.722]]}

=====

{"formula": "SrMnSe", "functional": "GGA-PBE", "state": "optimized geometry", "dft_energy_ev_per_atom": -5.34, "e_form_raw_ev_per_fu": -1.68, "relative_energy_mev_per_atom": 0, "cell": [[4.338, 0.000, 0.000], [-2.169, 3.757, 0.000], [0.000, 0.000, 4.475]], "species": ["Sr", "Mn", "Se"], "fractional_positions": [[0.000, 0.000, 0.000], [0.667, 0.333, 0.500], [0.333, 0.667, 0.500]]}